Record 1
# Y2TlRe

Crystalline Y2TlRe at its relaxed geometry (PBE-GGA, the Alexandria database).

Properties
- Energy above the most stable polymorph in this dataset: 38.23 kJ per mole of atoms
- Formation energy: 0.356 eV/atom
- Density: 10.514 Mg/m³

Structure (CIF):
```
data_Y2TlRe
_chemical_formula_sum 'Y8 Tl4 Re4'
_cell_length_a 7.108
_cell_length_b 7.108
_cell_length_c 7.108
_cell_angle_alpha 90.00
_cell_angle_beta 90.00
_cell_angle_gamma 90.00
_space_group_name_H-M_alt 'F -4 3 m'
_space_group_IT_number 216
_space_group_name_Hall 'F -4 2 3'
loop_
_atom_site_label
_atom_site_type_symbol
_atom_site_fract_x
_atom_site_fract_y
_atom_site_fract_z
_atom_site_occupancy
Y1 Y 0.000 0.000 0.000 1
Y2 Y 0.250 0.250 0.250 1
Tl1 Tl 0.000 0.000 0.500 1
Re1 Re 0.250 0.250 0.750 1
```

=====

Record 2
# YTl2Re

Crystalline YTl2Re at its relaxed geometry (PBE-GGA, the Alexandria database).

Properties
- Energy above the most stable polymorph in this dataset: 8.73 kJ per mole of atoms
- Formation energy: 0.466 eV/atom
- Density: 13.055 Mg/m³

Structure (CIF):
```
data_YTl2Re
_chemical_formula_sum 'Y4 Tl8 Re4'
_cell_length_a 7.034
_cell_length_b 7.034
_cell_length_c 7.034
_cell_angle_alpha 90.00
_cell_angle_beta 90.00
_cell_angle_gamma 90.00
_space_group_name_H-M_alt 'F m -3 m'
_space_group_IT_number 225
_space_group_name_Hall '-F 4 2 3'
loop_
_atom_site_label
_atom_site_type_symbol
_atom_site_fract_x
_atom_site_fract_y
_atom_site_fract_z
_atom_site_occupancy
Y1 Y 0.000 0.000 0.000 1
Tl1 Tl 0.250 0.250 0.250 1
Re1 Re 0.000 0.000 0.500 1
```

=====

Record 3
# Y2TlRe

Crystalline Y2TlRe at its relaxed geometry (PBE-GGA, the Alexandria database).

Properties
- Energy above the most stable polymorph in this dataset: 14.08 kJ per mole of atoms
- Formation energy: 0.106 eV/atom
- Density: 10.107 Mg/m³

Structure (CIF):
```
data_Y2TlRe
_chemical_formula_sum 'Y2 Tl1 Re1'
_cell_length_a 4.958
_cell_length_b 4.958
_cell_length_c 3.799
_cell_angle_alpha 90.00
_cell_angle_beta 90.00
_cell_angle_gamma 90.00
_space_group_name_H-M_alt 'P 4/m m m'
_space_group_IT_number 123
_space_group_name_Hall '-P 4 2'
loop_
_atom_site_label
_atom_site_type_symbol
_atom_site_fract_x
_atom_site_fract_y
_atom_site_fract_z
_atom_site_occupancy
Y1 Y 0.000 0.500 0.000 1
Tl1 Tl 0.000 0.000 0.500 1
Re1 Re 0.500 0.500 0.500 1
```

=====

Record 4
# YTl2Re

Crystalline YTl2Re at its relaxed geometry (PBE-GGA, the Alexandria database).

Properties
- Energy above the most stable polymorph in this dataset: 9.91 kJ per mole of atoms
- Formation energy: 0.478 eV/atom
- Density: 12.574 Mg/m³

Structure (CIF):
```
data_YTl2Re
_chemical_formula_sum 'Y1 Tl2 Re1'
_cell_length_a 3.143
_cell_length_b 4.945
_cell_length_c 5.917
_cell_angle_alpha 90.00
_cell_angle_beta 100.94
_cell_angle_gamma 90.00
_space_group_name_H-M_alt 'P 1 2/m 1'
_space_group_IT_number 10
loop_
_space_group_symop_operation_xyz
'x,y,z'
'-x,-y,-z'
'-x,y,-z'
'x,-y,z'
loop_
_atom_site_label
_atom_site_type_symbol
_atom_site_fract_x
_atom_site_fract_y
_atom_site_fract_z
_atom_site_occupancy
Y1 Y 0.000 0.000 0.000 1
Tl1 Tl 0.368 0.500 0.736 1
Re1 Re 0.500 0.000 0.500 1
```

=====

Record 5
# YTlRe2

Crystalline YTlRe2 at its relaxed geometry (PBE-GGA, the Alexandria database).

Properties
- Energy above the most stable polymorph in this dataset: 113.42 kJ per mole of atoms
- Formation energy: 1.309 eV/atom
- Density: 12.740 Mg/m³

Structure (CIF):
```
data_YTlRe2
_chemical_formula_sum 'Y4 Tl4 Re8'
_cell_length_a 7.908
_cell_length_b 7.908
_cell_length_c 5.550
_cell_angle_alpha 90.00
_cell_angle_beta 90.00
_cell_angle_gamma 90.00
_space_group_name_H-M_alt 'I -4 2 d'
_space_group_IT_number 122
_space_group_name_Hall 'I -4 2bw'
loop_
_atom_site_label
_atom_site_type_symbol
_atom_site_fract_x
_atom_site_fract_y
_atom_site_fract_z
_atom_site_occupancy
Y1 Y 0.000 0.000 0.000 1
Tl1 Tl 0.000 0.000 0.500 1
Re1 Re 0.228 0.250 0.625 1
```

=====

Record 6
# YTl2Re

Crystalline YTl2Re at its relaxed geometry (PBE-GGA, the Alexandria database).

Properties
- Energy above the most stable polymorph in this dataset: 16.65 kJ per mole of atoms
- Formation energy: 0.548 eV/atom
- Density: 12.842 Mg/m³

Structure (CIF):
```
data_YTl2Re
_chemical_formula_sum 'Y1 Tl2 Re1'
_cell_length_a 3.073
_cell_length_b 4.446
_cell_length_c 6.473
_cell_angle_alpha 90.00
_cell_angle_beta 90.00
_cell_angle_gamma 90.00
_space_group_name_H-M_alt 'P m m m'
_space_group_IT_number 47
loop_
_space_group_symop_operation_xyz
'x,y,z'
'-x,-y,-z'
'-x,-y,z'
'x,y,-z'
'x,-y,-z'
'-x,y,z'
'-x,y,-z'
'x,-y,z'
loop_
_atom_site_label
_atom_site_type_symbol
_atom_site_fract_x
_atom_site_fract_y
_atom_site_fract_z
_atom_site_occupancy
Y1 Y 0.000 0.000 0.000 1
Tl1 Tl 0.500 0.500 0.273 1
Re1 Re 0.000 0.000 0.500 1
```

=====

Record 7
# YTl2Re

Crystalline YTl2Re at its relaxed geometry (PBE-GGA, the Alexandria database).

Properties
- Energy above the most stable polymorph in this dataset: 31.38 kJ per mole of atoms
- Formation energy: 0.701 eV/atom
- Density: 12.245 Mg/m³

Structure (CIF):
```
data_YTl2Re
_chemical_formula_sum 'Y4 Tl8 Re4'
_cell_length_a 7.185
_cell_length_b 7.185
_cell_length_c 7.185
_cell_angle_alpha 90.00
_cell_angle_beta 90.00
_cell_angle_gamma 90.00
_space_group_name_H-M_alt 'F -4 3 m'
_space_group_IT_number 216
_space_group_name_Hall 'F -4 2 3'
loop_
_atom_site_label
_atom_site_type_symbol
_atom_site_fract_x
_atom_site_fract_y
_atom_site_fract_z
_atom_site_occupancy
Y1 Y 0.000 0.000 0.000 1
Tl1 Tl 0.000 0.000 0.500 1
Tl2 Tl 0.250 0.250 0.750 1
Re1 Re 0.250 0.250 0.250 1
```

=====

Record 8
# YTl2Re

Crystalline YTl2Re at its relaxed geometry (PBE-GGA, the Alexandria database).

Properties
- Energy above the most stable polymorph in this dataset: 3.68 kJ per mole of atoms
- Formation energy: 0.414 eV/atom
- Density: 12.969 Mg/m³

Structure (CIF):
```
data_YTl2Re
_chemical_formula_sum 'Y2 Tl4 Re2'
_cell_length_a 4.548
_cell_length_b 4.548
_cell_length_c 8.466
_cell_angle_alpha 90.00
_cell_angle_beta 90.00
_cell_angle_gamma 90.00
_space_group_name_H-M_alt 'I 4/m m m'
_space_group_IT_number 139
_space_group_name_Hall '-I 4 2'
loop_
_atom_site_label
_atom_site_type_symbol
_atom_site_fract_x
_atom_site_fract_y
_atom_site_fract_z
_atom_site_occupancy
Y1 Y 0.000 0.000 0.000 1
Tl1 Tl 0.000 0.500 0.250 1
Re1 Re 0.000 0.000 0.500 1
```

=====

Record 9
# YTlRe2

Crystalline YTlRe2 at its relaxed geometry (PBE-GGA, the Alexandria database).

Properties
- Energy above the most stable polymorph in this dataset: 60.63 kJ per mole of atoms
- Formation energy: 0.762 eV/atom
- Density: 13.507 Mg/m³

Structure (CIF):
```
data_YTlRe2
_chemical_formula_sum 'Y1 Tl1 Re2'
_cell_length_a 3.095
_cell_length_b 4.319
_cell_length_c 6.124
_cell_angle_alpha 90.00
_cell_angle_beta 90.00
_cell_angle_gamma 90.00
_space_group_name_H-M_alt 'P m m m'
_space_group_IT_number 47
loop_
_space_group_symop_operation_xyz
'x,y,z'
'-x,-y,-z'
'-x,-y,z'
'x,y,-z'
'x,-y,-z'
'-x,y,z'
'-x,y,-z'
'x,-y,z'
loop_
_atom_site_label
_atom_site_type_symbol
_atom_site_fract_x
_atom_site_fract_y
_atom_site_fract_z
_atom_site_occupancy
Y1 Y 0.000 0.000 0.000 1
Tl1 Tl 0.000 0.000 0.500 1
Re1 Re 0.500 0.500 0.302 1
```

=====

Record 10
# Y2TlRe

Crystalline Y2TlRe at its relaxed geometry (PBE-GGA, the Alexandria database).

Properties
- Energy above the most stable polymorph in this dataset: 87.98 kJ per mole of atoms
- Formation energy: 0.872 eV/atom
- Density: 8.836 Mg/m³

Structure (CIF):
```
data_Y2TlRe
_chemical_formula_sum 'Y8 Tl4 Re4'
_cell_length_a 4.647
_cell_length_b 4.647
_cell_length_c 19.789
_cell_angle_alpha 90.00
_cell_angle_beta 90.00
_cell_angle_gamma 90.00
_space_group_name_H-M_alt 'I -4 2 d'
_space_group_IT_number 122
_space_group_name_Hall 'I -4 2bw'
loop_
_atom_site_label
_atom_site_type_symbol
_atom_site_fract_x
_atom_site_fract_y
_atom_site_fract_z
_atom_site_occupancy
Y1 Y 0.230 0.250 0.125 1
Tl1 Tl 0.000 0.000 0.500 1
Re1 Re 0.000 0.000 0.000 1
```

=====

Record 11
# Y2TlRe

Crystalline Y2TlRe at its relaxed geometry (PBE-GGA, the Alexandria database).

Properties
- Energy above the most stable polymorph in this dataset: 20.05 kJ per mole of atoms
- Formation energy: 0.168 eV/atom
- Density: 9.365 Mg/m³

Structure (CIF):
```
data_Y2TlRe
_chemical_formula_sum 'Y4 Tl2 Re2'
_cell_length_a 6.028
_cell_length_b 3.534
_cell_length_c 9.698
_cell_angle_alpha 90.00
_cell_angle_beta 102.67
_cell_angle_gamma 90.00
_space_group_name_H-M_alt 'C 1 2/m 1'
_space_group_IT_number 12
loop_
_space_group_symop_operation_xyz
'x,y,z'
'-x,-y,-z'
'-x,y,-z'
'x,-y,z'
'x+1/2,y+1/2,z'
'-x+1/2,-y+1/2,-z'
'-x+1/2,y+1/2,-z'
'x+1/2,-y+1/2,z'
loop_
_atom_site_label
_atom_site_type_symbol
_atom_site_fract_x
_atom_site_fract_y
_atom_site_fract_z
_atom_site_occupancy
Y1 Y 0.239 0.000 0.216 1
Tl1 Tl 0.000 0.000 0.500 1
Re1 Re 0.000 0.500 0.000 1
```

=====

Record 12
# YTlRe2

Crystalline YTlRe2 at its relaxed geometry (PBE-GGA, the Alexandria database).

Properties
- Energy above the most stable polymorph in this dataset: 28.36 kJ per mole of atoms
- Formation energy: 0.427 eV/atom
- Density: 13.392 Mg/m³

Structure (CIF):
```
data_YTlRe2
_chemical_formula_sum 'Y2 Tl2 Re4'
_cell_length_a 4.082
_cell_length_b 4.880
_cell_length_c 8.286
_cell_angle_alpha 90.00
_cell_angle_beta 90.00
_cell_angle_gamma 90.00
_space_group_name_H-M_alt 'I m m 2'
_space_group_IT_number 44
loop_
_space_group_symop_operation_xyz
'x,y,z'
'-x,-y,z'
'-x,y,z'
'x,-y,z'
'x+1/2,y+1/2,z+1/2'
'-x+1/2,-y+1/2,z+1/2'
'-x+1/2,y+1/2,z+1/2'
'x+1/2,-y+1/2,z+1/2'
loop_
_atom_site_label
_atom_site_type_symbol
_atom_site_fract_x
_atom_site_fract_y
_atom_site_fract_z
_atom_site_occupancy
Y1 Y 0.000 0.000 0.000 1
Tl1 Tl 0.000 0.500 0.780 1
Re1 Re 0.000 0.000 0.548 1
Re2 Re 0.000 0.500 0.215 1
```

=====

Record 13
# YTl2Re

Crystalline YTl2Re at its relaxed geometry (PBE-GGA, the Alexandria database).

Properties
- Energy above the most stable polymorph in this dataset: 8.99 kJ per mole of atoms
- Formation energy: 0.469 eV/atom
- Density: 11.389 Mg/m³

Structure (CIF):
```
data_YTl2Re
_chemical_formula_sum 'Y2 Tl4 Re2'
_cell_length_a 3.316
_cell_length_b 4.654
_cell_length_c 12.922
_cell_angle_alpha 90.00
_cell_angle_beta 90.00
_cell_angle_gamma 90.00
_space_group_name_H-M_alt 'I m m 2'
_space_group_IT_number 44
loop_
_space_group_symop_operation_xyz
'x,y,z'
'-x,-y,z'
'-x,y,z'
'x,-y,z'
'x+1/2,y+1/2,z+1/2'
'-x+1/2,-y+1/2,z+1/2'
'-x+1/2,y+1/2,z+1/2'
'x+1/2,-y+1/2,z+1/2'
loop_
_atom_site_label
_atom_site_type_symbol
_atom_site_fract_x
_atom_site_fract_y
_atom_site_fract_z
_atom_site_occupancy
Y1 Y 0.000 0.000 0.000 1
Tl1 Tl 0.000 0.000 0.368 1
Tl2 Tl 0.000 0.500 0.180 1
Re1 Re 0.000 0.500 0.680 1
```

=====

Record 14
# Y2Tl2Re

Crystalline Y2Tl2Re at its relaxed geometry (PBE-GGA, the Alexandria database).

Properties
- Energy above the most stable polymorph in this dataset: 0.00 kJ per mole of atoms
- Formation energy: 0.465 eV/atom
- Density: 9.367 Mg/m³

Structure (CIF):
```
data_Y2Tl2Re
_chemical_formula_sum 'Y4 Tl4 Re2'
_cell_length_a 7.452
_cell_length_b 7.452
_cell_length_c 4.935
_cell_angle_alpha 90.00
_cell_angle_beta 90.00
_cell_angle_gamma 90.00
_space_group_name_H-M_alt 'P 4/m b m'
_space_group_IT_number 127
_space_group_name_Hall '-P 4 2ab'
loop_
_atom_site_label
_atom_site_type_symbol
_atom_site_fract_x
_atom_site_fract_y
_atom_site_fract_z
_atom_site_occupancy
Y1 Y 0.165 0.335 0.000 1
Tl1 Tl 0.152 0.652 0.500 1
Re1 Re 0.000 0.000 0.000 1
```

=====

Record 15
# YTl2Re

Crystalline YTl2Re at its relaxed geometry (PBE-GGA, the Alexandria database).

Properties
- Energy above the most stable polymorph in this dataset: 11.86 kJ per mole of atoms
- Formation energy: 0.498 eV/atom
- Density: 11.759 Mg/m³

Structure (CIF):
```
data_YTl2Re
_chemical_formula_sum 'Y1 Tl2 Re1'
_cell_length_a 3.794
_cell_length_b 4.418
_cell_length_c 6.053
_cell_angle_alpha 90.00
_cell_angle_beta 107.87
_cell_angle_gamma 90.00
_space_group_name_H-M_alt 'P 1 m 1'
_space_group_IT_number 6
loop_
_space_group_symop_operation_xyz
'x,y,z'
'x,-y,z'
loop_
_atom_site_label
_atom_site_type_symbol
_atom_site_fract_x
_atom_site_fract_y
_atom_site_fract_z
_atom_site_occupancy
Y1 Y 0.000 0.000 0.000 1
Tl1 Tl 0.337 0.500 0.661 1
Tl2 Tl 0.726 0.000 0.448 1
Re1 Re 0.569 0.500 0.149 1
```